1.
{
  "formula": "KIn2Br",
  "functional": "PBE-GGA",
  "state": "relaxed",
  "lattice_angstrom": [[4.482, -2.588, 0.000], [4.482, 2.588, 0.000], [-0.216, 0.000, 6.685]],
  "species": ["K", "In", "In", "Br"],
  "frac_coords": [[0.000, 0.000, 0.000], [0.325, 0.325, 0.618], [0.659, 0.659, 0.617], [0.670, 0.670, 0.162]],
  "e_above_lowest_polymorph_ev_per_fu": 0.10,
  "sg": "No. 8",
  "final_energy_ev_per_cell": -10.4,
  "e_form_raw_ev_per_atom": -0.538
}


2.
{
  "formula": "KInBr2",
  "functional": "PBE-GGA",
  "state": "relaxed",
  "lattice_angstrom": [[2.309, 1.333, 8.165], [-2.309, 1.333, 8.165], [0.000, -2.667, 8.165]],
  "species": ["K", "In", "Br", "Br"],
  "frac_coords": [[0.000, 0.000, 0.000], [0.168, 0.168, 0.168], [0.584, 0.584, 0.584], [0.751, 0.751, 0.751]],
  "e_above_lowest_polymorph_ev_per_fu": 0.14,
  "sg": "No. 160",
  "final_energy_ev_per_cell": -11.9,
  "e_form_raw_ev_per_atom": -1.169
}


3.
{
  "formula": "K4InBr5",
  "functional": "PBE-GGA",
  "state": "relaxed",
  "lattice_angstrom": [[-5.294, 5.294, 3.340], [5.294, -5.294, 3.340], [5.294, 5.294, -3.340]],
  "species": ["K", "K", "K", "K", "In", "Br", "Br", "Br", "Br", "Br"],
  "frac_coords": [[0.101, 0.701, 0.802], [0.299, 0.101, 0.401], [0.701, 0.899, 0.599], [0.899, 0.299, 0.198], [0.500, 0.500, 0.000], [0.000, 0.000, 0.000], [0.199, 0.400, 0.599], [0.400, 0.801, 0.201], [0.600, 0.199, 0.799], [0.801, 0.600, 0.401]],
  "sg": "No. 87",
  "final_energy_ev_per_cell": -30.8,
  "e_form_raw_ev_per_atom": -1.531
}


4.
{
  "formula": "KInBr2",
  "functional": "PBE-GGA",
  "state": "relaxed",
  "lattice_angstrom": [[4.009, -4.009, 0.000], [4.009, 4.009, 0.000], [-0.023, 0.000, 4.005]],
  "species": ["K", "In", "Br", "Br"],
  "frac_coords": [[0.000, 0.000, 0.000], [0.500, 0.500, 0.000], [0.000, 0.500, 0.500], [0.500, 0.000, 0.500]],
  "e_above_lowest_polymorph_ev_per_fu": 0.23,
  "sg": "No. 12",
  "final_energy_ev_per_cell": -11.8,
  "e_form_raw_ev_per_atom": -1.147
}


5.
{
  "formula": "KIn4Br5",
  "functional": "PBE-GGA",
  "state": "relaxed",
  "lattice_angstrom": [[-5.286, 5.286, 3.335], [5.286, -5.286, 3.335], [5.286, 5.286, -3.335]],
  "species": ["K", "In", "In", "In", "In", "Br", "Br", "Br", "Br", "Br"],
  "frac_coords": [[0.000, 0.000, 0.000], [0.201, 0.398, 0.598], [0.398, 0.799, 0.197], [0.602, 0.201, 0.803], [0.799, 0.602, 0.402], [0.101, 0.703, 0.803], [0.297, 0.101, 0.398], [0.500, 0.500, 0.000], [0.703, 0.899, 0.602], [0.899, 0.297, 0.197]],
  "sg": "No. 87",
  "final_energy_ev_per_cell": -29.1,
  "e_form_raw_ev_per_atom": -0.868
}


6.
{
  "formula": "K3InBr6",
  "functional": "PBE-GGA",
  "state": "relaxed",
  "lattice_angstrom": [[6.590, -8.193, 0.000], [6.590, 8.193, 0.000], [0.000, 0.000, 8.006]],
  "species": ["K", "K", "K", "K", "K", "K", "In", "In", "Br", "Br", "Br", "Br", "Br", "Br", "Br", "Br", "Br", "Br", "Br", "Br"],
  "frac_coords": [[0.066, 0.934, 0.500], [0.200, 0.392, 0.407], [0.392, 0.200, 0.907], [0.608, 0.800, 0.407], [0.800, 0.608, 0.907], [0.934, 0.066, 0.000], [0.307, 0.693, 0.813], [0.693, 0.307, 0.313], [0.083, 0.613, 0.679], [0.132, 0.206, 0.715], [0.206, 0.132, 0.215], [0.306, 0.694, 0.130], [0.387, 0.917, 0.679], [0.452, 0.548, 0.692], [0.548, 0.452, 0.192], [0.613, 0.083, 0.179], [0.694, 0.306, 0.630], [0.794, 0.868, 0.715], [0.868, 0.794, 0.215], [0.917, 0.387, 0.179]],
  "sg": "No. 36",
  "final_energy_ev_per_cell": -59.1,
  "e_form_raw_ev_per_atom": -1.349
}


7.
{
  "formula": "KInBr2",
  "functional": "PBE-GGA",
  "state": "relaxed",
  "lattice_angstrom": [[4.729, 0.000, 0.000], [0.000, 6.659, 0.000], [0.000, 0.000, 4.721]],
  "species": ["K", "In", "Br", "Br"],
  "frac_coords": [[0.000, 0.000, 0.000], [0.500, 0.500, 0.501], [0.000, 0.500, 0.002], [0.500, 0.000, 0.500]],
  "e_above_lowest_polymorph_ev_per_fu": 0.00,
  "sg": "No. 25",
  "final_energy_ev_per_cell": -12.0,
  "e_form_raw_ev_per_atom": -1.205
}


8.
{
  "formula": "KInBr",
  "functional": "PBE-GGA",
  "state": "relaxed",
  "lattice_angstrom": [[4.151, 0.000, 0.000], [-2.075, 3.595, 0.000], [0.000, 0.000, 7.357]],
  "species": ["K", "In", "Br"],
  "frac_coords": [[0.000, 0.000, 0.000], [0.333, 0.667, 0.603], [0.667, 0.333, 0.276]],
  "e_above_lowest_polymorph_ev_per_fu": 0.12,
  "sg": "No. 156",
  "final_energy_ev_per_cell": -7.3,
  "e_form_raw_ev_per_atom": -0.605
}